[1]
Here is a geometry-optimized Rb2LaRh structure from Alexandria. Energies are from PBE.

Lattice parameters (Å, degrees): 5.708 5.708 5.708 60.00 60.00 60.00
Positions (direct):
Rh 0.000 0.000 0.000
Rb 0.250 0.250 0.250
Rb 0.750 0.750 0.750
La 0.500 0.500 0.500

- ΔH_f (0 K): 0.9981 eV per atom
- Space group: Fm-3m (225)
- Magnetization: 0.00 μB per cell
- Distance to the lowest polymorph of the same formula: 0.752 eV/atom


[2]
Here is a geometry-optimized Rb2La4Rh structure from Alexandria. Energies are from PBE.

Lattice parameters (Å, degrees): 5.851 5.851 11.651 75.46 75.46 90.00
Positions (direct):
Rh 0.000 0.000 0.000
Rb 0.673 0.673 0.655
Rb 0.327 0.327 0.345
La 0.879 0.879 0.242
La 0.121 0.121 0.758
La 0.000 0.500 0.000
La 0.500 0.000 0.000

- ΔH_f (0 K): 0.1451 eV per atom
- Space group: I4/mmm (139)
- Magnetization: 0.00 μB per cell


[3]
Here is a geometry-optimized Rb2La2Rh structure from Alexandria. Energies are from PBE.

Lattice parameters (Å, degrees): 7.592 7.592 7.589 90.00 90.00 90.00
Positions (direct):
Rh 0.000 0.000 0.000
Rh 0.500 0.500 0.000
Rb 0.195 0.695 0.500
Rb 0.695 0.805 0.500
Rb 0.805 0.305 0.500
Rb 0.305 0.195 0.500
La 0.310 0.810 0.000
La 0.810 0.690 0.000
La 0.690 0.190 0.000
La 0.190 0.310 0.000

- ΔH_f (0 K): 0.0425 eV per atom
- Space group: P4/mbm (127)
- Magnetization: 0.00 μB per cell


Please write out number 1 again, unchanged.
Here is a geometry-optimized Rb2LaRh structure from Alexandria. Energies are from PBE.

Lattice parameters (Å, degrees): 5.708 5.708 5.708 60.00 60.00 60.00
Positions (direct):
Rh 0.000 0.000 0.000
Rb 0.250 0.250 0.250
Rb 0.750 0.750 0.750
La 0.500 0.500 0.500

- ΔH_f (0 K): 0.9981 eV per atom
- Space group: Fm-3m (225)
- Magnetization: 0.00 μB per cell
- Distance to the lowest polymorph of the same formula: 0.752 eV/atom


> Which value of ΔH_f (0 K) does entry 1 give?

0.9981 eV per atom


> Which value of ΔH_f (0 K) does entry 3 give?

0.0425 eV per atom


> magnetization of number 2 (Rb2La4Rh)?

0.00 μB per cell